Density functional theory data (PBE) for a relaxed ZnNi2OsN crystal.

Cell and atoms, written as CIF:
```
data_ZnNi2OsN
_chemical_formula_sum 'Zn1 Ni2 Os1 N1'
_space_group_name_H-M_alt 'P 4/m m m'
_space_group_IT_number 123
_space_group_name_Hall '-P 4 2'
_cell_length_a 3.853
_cell_length_b 3.853
_cell_length_c 3.910
_cell_angle_alpha 90.00
_cell_angle_beta 90.00
_cell_angle_gamma 90.00
loop_
_atom_site_label
_atom_site_type_symbol
_atom_site_fract_x
_atom_site_fract_y
_atom_site_fract_z
Zn1 Zn 0.000 0.000 0.000
Ni1 Ni 0.000 0.500 0.500
Os1 Os 0.500 0.500 0.000
N1 N 0.500 0.500 0.500
```

Summary:
D(E_F) ... 2.00 states/eV per cell
Magnetization ... 0.0 μB/f.u.
Raw formation energy ... 86 meV/atom


Density functional theory data (PBE) for a relaxed TePbOF2 crystal.

Cell and atoms, written as CIF:
```
data_TePbOF2
_chemical_formula_sum 'Te1 Pb1 O1 F2'
_space_group_name_H-M_alt 'P 4/m m m'
_space_group_IT_number 123
_space_group_name_Hall '-P 4 2'
_cell_length_a 4.766
_cell_length_b 4.766
_cell_length_c 4.341
_cell_angle_alpha 90.00
_cell_angle_beta 90.00
_cell_angle_gamma 90.00
loop_
_atom_site_label
_atom_site_type_symbol
_atom_site_fract_x
_atom_site_fract_y
_atom_site_fract_z
Te1 Te 0.000 0.000 0.000
Pb1 Pb 0.500 0.500 0.500
O1 O 0.500 0.500 0.000
F1 F 0.000 0.500 0.500
```

Summary:
D(E_F) ... 1.27 states/eV per cell
Energy relative to the lowest polymorph listed for this composition ... 122 meV/atom
Magnetization ... 2.8 μB/f.u.
Raw formation energy ... -854 meV/atom


Density functional theory data (PBE) for a relaxed Th2PaCd crystal.

Cell and atoms, written as CIF:
```
data_Th2PaCd
_chemical_formula_sum 'Th6 Pa3 Cd3'
_space_group_name_H-M_alt 'R -3 m'
_space_group_IT_number 166
_space_group_name_Hall '-R 3 2"'
_cell_length_a 3.2849
_cell_length_b 3.2849
_cell_length_c 36.6313
_cell_angle_alpha 90.00
_cell_angle_beta 90.00
_cell_angle_gamma 120.00
loop_
_atom_site_label
_atom_site_type_symbol
_atom_site_fract_x
_atom_site_fract_y
_atom_site_fract_z
Th1 Th 0.0000 0.0000 0.0885
Pa1 Pa 0.0000 0.0000 0.0000
Cd1 Cd 0.0000 0.0000 0.5000
```

Summary:
D(E_F) ... 20.92 states/eV per cell
Energy relative to the lowest polymorph listed for this composition ... 284 meV/atom
Magnetization ... 0.0 μB/f.u.
Formation enthalpy at 0 K ... 0.29 eV/atom


Density functional theory data (PBE) for a relaxed Rb2Zn3S4 crystal.

Cell and atoms, written as CIF:
```
data_Rb2Zn3S4
_chemical_formula_sum 'Rb8 Zn12 S16'
_space_group_name_H-M_alt 'I b a m'
_space_group_IT_number 72
_space_group_name_Hall '-I 2 2c'
_cell_length_a 5.826
_cell_length_b 11.241
_cell_length_c 13.673
_cell_angle_alpha 90.00
_cell_angle_beta 90.00
_cell_angle_gamma 90.00
loop_
_atom_site_label
_atom_site_type_symbol
_atom_site_fract_x
_atom_site_fract_y
_atom_site_fract_z
Rb1 Rb 0.235 0.122 0.000
Zn1 Zn 0.000 0.224 0.250
Zn2 Zn 0.000 0.500 0.250
S1 S 0.221 0.367 0.152
```

Summary:
D(E_F) ... 0.00 states/eV per cell
Magnetization ... 0.0 μB/f.u.
Raw formation energy ... -960 meV/atom


Density functional theory data (PBE) for a relaxed Pr3GeBr2 crystal.

Cell and atoms, written as CIF:
```
data_Pr3GeBr2
_chemical_formula_sum 'Pr6 Ge2 Br4'
_space_group_name_H-M_alt 'I m m m'
_space_group_IT_number 71
_space_group_name_Hall '-I 2 2'
_cell_length_a 4.377
_cell_length_b 6.049
_cell_length_c 13.199
_cell_angle_alpha 90.00
_cell_angle_beta 90.00
_cell_angle_gamma 90.00
loop_
_atom_site_label
_atom_site_type_symbol
_atom_site_fract_x
_atom_site_fract_y
_atom_site_fract_z
Pr1 Pr 0.000 0.000 0.000
Pr2 Pr 0.000 0.000 0.354
Ge1 Ge 0.000 0.500 0.000
Br1 Br 0.000 0.500 0.330
```

Summary:
D(E_F) ... 7.74 states/eV per cell
Energy relative to the lowest polymorph listed for this composition ... 17 meV/atom
Magnetization ... 0.0 μB/f.u.
Raw formation energy ... -1139 meV/atom


Density functional theory data (PBE) for a relaxed LaPIr2 crystal.

Cell and atoms, written as CIF:
```
data_LaPIr2
_chemical_formula_sum 'La2 P2 Ir4'
_space_group_name_H-M_alt 'I -4 m 2'
_space_group_IT_number 119
_space_group_name_Hall 'I -4 -2'
_cell_length_a 4.043
_cell_length_b 4.043
_cell_length_c 8.977
_cell_angle_alpha 90.00
_cell_angle_beta 90.00
_cell_angle_gamma 90.00
loop_
_atom_site_label
_atom_site_type_symbol
_atom_site_fract_x
_atom_site_fract_y
_atom_site_fract_z
La1 La 0.000 0.000 0.000
P1 P 0.000 0.500 0.750
Ir1 Ir 0.000 0.000 0.500
Ir2 Ir 0.000 0.500 0.250
```

Summary:
D(E_F) ... 7.39 states/eV per cell
Magnetization ... 0.0 μB/f.u.
Formation enthalpy at 0 K ... -0.06 eV/atom


Density functional theory data (PBE) for a relaxed Mg2SbOs crystal.

Cell and atoms, written as CIF:
```
data_Mg2SbOs
_chemical_formula_sum 'Mg2 Sb1 Os1'
_space_group_name_H-M_alt 'P m m m'
_space_group_IT_number 47
_space_group_name_Hall '-P 2 2'
_cell_length_a 3.429
_cell_length_b 3.637
_cell_length_c 5.838
_cell_angle_alpha 90.00
_cell_angle_beta 90.00
_cell_angle_gamma 90.00
loop_
_atom_site_label
_atom_site_type_symbol
_atom_site_fract_x
_atom_site_fract_y
_atom_site_fract_z
Mg1 Mg 0.000 0.000 0.222
Sb1 Sb 0.500 0.500 0.500
Os1 Os 0.500 0.500 0.000
```

Summary:
D(E_F) ... 2.35 states/eV per cell
Magnetization ... 0.0 μB/f.u.
Raw formation energy ... 145 meV/atom


Density functional theory data (PBE) for a relaxed NaPuCdIn crystal.

Cell and atoms, written as CIF:
```
data_NaPuCdIn
_chemical_formula_sum 'Na4 Pu4 Cd4 In4'
_space_group_name_H-M_alt 'F -4 3 m'
_space_group_IT_number 216
_space_group_name_Hall 'F -4 2 3'
_cell_length_a 7.518
_cell_length_b 7.518
_cell_length_c 7.518
_cell_angle_alpha 90.00
_cell_angle_beta 90.00
_cell_angle_gamma 90.00
loop_
_atom_site_label
_atom_site_type_symbol
_atom_site_fract_x
_atom_site_fract_y
_atom_site_fract_z
Na1 Na 0.000 0.000 0.000
Pu1 Pu 0.000 0.000 0.500
Cd1 Cd 0.250 0.250 0.750
In1 In 0.250 0.250 0.250
```

Summary:
D(E_F) ... 52.57 states/eV per cell
Magnetization ... 5.8 μB/f.u.
Formation enthalpy at 0 K ... 0.02 eV/atom